Entry 1:
# DyErMgCd PBE relaxed
# Raw total energy: -3.115 eV per atom
data_DyErMgCd
_chemical_formula_sum 'Dy4 Er4 Mg4 Cd4'
_cell_length_a 7.493
_cell_length_b 7.493
_cell_length_c 7.493
_cell_angle_alpha 90.00
_cell_angle_beta 90.00
_cell_angle_gamma 90.00
_symmetry_space_group_name_H-M 'F -4 3 m'
_symmetry_Int_Tables_number 216
_symmetry_space_group_name_Hall 'F -4 2 3'
loop_
_atom_site_label
_atom_site_type_symbol
_atom_site_fract_x
_atom_site_fract_y
_atom_site_fract_z
Dy1 Dy 0.000 0.000 0.000
Er1 Er 0.000 0.000 0.500
Mg1 Mg 0.250 0.250 0.250
Cd1 Cd 0.250 0.250 0.750

Entry 2:
# DyEr2CdN PBE relaxed
# Energy relative to the elements, uncorrected: -866.3 meV/atom
# Raw total energy: -5.460 eV per atom
data_DyEr2CdN
_chemical_formula_sum 'Dy1 Er2 Cd1 N1'
_cell_length_a 4.772
_cell_length_b 4.772
_cell_length_c 4.830
_cell_angle_alpha 90.00
_cell_angle_beta 90.00
_cell_angle_gamma 90.00
_symmetry_space_group_name_H-M 'P 4/m m m'
_symmetry_Int_Tables_number 123
_symmetry_space_group_name_Hall '-P 4 2'
loop_
_atom_site_label
_atom_site_type_symbol
_atom_site_fract_x
_atom_site_fract_y
_atom_site_fract_z
Dy1 Dy 0.000 0.000 0.000
Er1 Er 0.000 0.500 0.500
Cd1 Cd 0.500 0.500 0.000
N1 N 0.000 0.000 0.500

Entry 3:
# DyEr2CdO PBE relaxed
# Energy relative to the elements, uncorrected: -1320.8 meV/atom
# Raw total energy: -5.241 eV per atom
data_DyEr2CdO
_chemical_formula_sum 'Dy1 Er2 Cd1 O1'
_cell_length_a 4.740
_cell_length_b 4.740
_cell_length_c 4.782
_cell_angle_alpha 90.00
_cell_angle_beta 90.00
_cell_angle_gamma 90.00
_symmetry_space_group_name_H-M 'P 4/m m m'
_symmetry_Int_Tables_number 123
_symmetry_space_group_name_Hall '-P 4 2'
loop_
_atom_site_label
_atom_site_type_symbol
_atom_site_fract_x
_atom_site_fract_y
_atom_site_fract_z
Dy1 Dy 0.000 0.000 0.000
Er1 Er 0.000 0.500 0.500
Cd1 Cd 0.500 0.500 0.000
O1 O 0.000 0.000 0.500

Entry 4:
# DyErCdPd PBE relaxed
# Offset from the most stable computed form: 5.3 kJ per mole of atoms
# Raw total energy: -4.377 eV per atom
data_DyErCdPd
_chemical_formula_sum 'Dy4 Er4 Cd4 Pd4'
_cell_length_a 7.214
_cell_length_b 7.214
_cell_length_c 7.214
_cell_angle_alpha 90.00
_cell_angle_beta 90.00
_cell_angle_gamma 90.00
_symmetry_space_group_name_H-M 'F -4 3 m'
_symmetry_Int_Tables_number 216
_symmetry_space_group_name_Hall 'F -4 2 3'
loop_
_atom_site_label
_atom_site_type_symbol
_atom_site_fract_x
_atom_site_fract_y
_atom_site_fract_z
Dy1 Dy 0.000 0.000 0.000
Er1 Er 0.000 0.000 0.500
Cd1 Cd 0.250 0.250 0.750
Pd1 Pd 0.250 0.250 0.250